Tm4Ag2O: relaxed, PBE.

Cell: 4.6023 4.6023 14.8073 Å, 90.00 90.00 90.00°
Space group I4/mmm (No. 139)
Symmetry-distinct sites (fractional):
1 Tm 0.0000 0.0000 0.1795 [4 per cell]
2 Tm 0.0000 0.5000 0.0000 [4 per cell]
3 Ag 0.0000 0.0000 0.3696 [4 per cell]
4 O 0.0000 0.0000 0.0000 [2 per cell]

Values from the calculation:
Density of states at the Fermi level (states/eV/atom): 1.302
Spin magnetization (μB/cell): 0.00
E_form (uncorrected) (kJ/mol of formula units): -630
Crystal system: tetragonal

Tm3Ag5O12: relaxed, PBE.

Cell: 12.9328 12.9328 12.9328 Å, 90.00 90.00 90.00°
Space group Ia-3d (No. 230)
Symmetry-distinct sites (fractional):
1 Tm 0.0000 0.2500 0.1250 [24 per cell]
2 Ag 0.0000 0.0000 0.0000 [16 per cell]
3 Ag 0.0000 0.2500 0.3750 [24 per cell]
4 O 0.0121 0.0641 0.6516 [96 per cell]

Values from the calculation:
Density of states at the Fermi level (states/eV/atom): 0.723
Spin magnetization (μB/cell): 0.01
E_form (uncorrected) (kJ/mol of formula units): -2232
Crystal system: cubic

Tm3AgO6: relaxed, PBE.

Cell: 8.7929 11.0061 5.5384 Å, 90.00 90.00 90.00°
Space group Cmc2_1 (No. 36)
Symmetry-distinct sites (fractional):
1 Tm 0.0000 0.1007 0.0000 [4 per cell]
2 Tm 0.2054 0.3850 0.9463 [8 per cell]
3 Ag 0.0000 0.3535 0.4392 [4 per cell]
4 O 0.0000 0.2799 0.7844 [4 per cell]
5 O 0.0000 0.4766 0.1412 [4 per cell]
6 O 0.1590 0.2369 0.2163 [8 per cell]
7 O 0.1603 0.0176 0.7232 [8 per cell]

Values from the calculation:
Density of states at the Fermi level (states/eV/atom): 0.513
Spin magnetization (μB/cell): 3.22
E_form (uncorrected) (kJ/mol of formula units): -2572
Crystal system: orthorhombic